# KRb2Bi | the Alexandria database | PBE | optimized geometry
# * uncorrected energy: -1.92 eV/atom
# * space group: P4/mmm, No. 123
# * formation energy: -0.191 eV/atom
data_KRb2Bi
_chemical_formula_sum 'K1 Rb2 Bi1'
_symmetry_space_group_name_H-M 'P 1'
_symmetry_Int_Tables_number 1
_cell_length_a 5.7328
_cell_length_b 5.7328
_cell_length_c 5.8474
_cell_angle_alpha 90.00
_cell_angle_beta 90.00
_cell_angle_gamma 90.00
loop_
_symmetry_equiv_pos_as_xyz
'x,y,z'
loop_
_atom_site_label
_atom_site_type_symbol
_atom_site_fract_x
_atom_site_fract_y
_atom_site_fract_z
K1 K 0.0000 0.0000 0.0000
Rb1 Rb 0.0000 0.5000 0.5000
Rb2 Rb 0.5000 0.0000 0.5000
Bi1 Bi 0.5000 0.5000 0.0000

***

# CaTlNi2 | the Alexandria database | PBE | optimized geometry
# * uncorrected energy: -3.75 eV/atom
# * space group: I-42d, No. 122
# * formation energy: 0.231 eV/atom
data_CaTlNi2
_chemical_formula_sum 'Ca4 Tl4 Ni8'
_symmetry_space_group_name_H-M 'P 1'
_symmetry_Int_Tables_number 1
_cell_length_a 4.5986
_cell_length_b 4.5986
_cell_length_c 17.8576
_cell_angle_alpha 90.00
_cell_angle_beta 90.00
_cell_angle_gamma 90.00
loop_
_symmetry_equiv_pos_as_xyz
'x,y,z'
loop_
_atom_site_label
_atom_site_type_symbol
_atom_site_fract_x
_atom_site_fract_y
_atom_site_fract_z
Ca1 Ca 0.0000 0.0000 0.0000
Ca2 Ca 0.0000 0.5000 0.2500
Ca3 Ca 0.5000 0.0000 0.7500
Ca4 Ca 0.5000 0.5000 0.5000
Tl1 Tl 0.0000 0.0000 0.5000
Tl2 Tl 0.0000 0.5000 0.7500
Tl3 Tl 0.5000 0.0000 0.2500
Tl4 Tl 0.5000 0.5000 0.0000
Ni1 Ni 0.0549 0.2500 0.6250
Ni2 Ni 0.2500 0.5549 0.8750
Ni3 Ni 0.2500 0.9451 0.3750
Ni4 Ni 0.4451 0.2500 0.1250
Ni5 Ni 0.5549 0.7500 0.1250
Ni6 Ni 0.7500 0.0549 0.3750
Ni7 Ni 0.7500 0.4451 0.8750
Ni8 Ni 0.9451 0.7500 0.6250

***

# Tl2SnHg2Se2 | the Alexandria database | PBE | optimized geometry
# * uncorrected energy: -2.49 eV/atom
# * space group: P-1, No. 2
# * ΔE_f (raw): -0.16 eV per atom
data_Tl2SnHg2Se2
_chemical_formula_sum 'Tl2 Sn1 Hg2 Se2'
_symmetry_space_group_name_H-M 'P 1'
_symmetry_Int_Tables_number 1
_cell_length_a 4.3184
_cell_length_b 6.6830
_cell_length_c 8.4526
_cell_angle_alpha 101.34
_cell_angle_beta 104.21
_cell_angle_gamma 108.73
loop_
_symmetry_equiv_pos_as_xyz
'x,y,z'
loop_
_atom_site_label
_atom_site_type_symbol
_atom_site_fract_x
_atom_site_fract_y
_atom_site_fract_z
Tl1 Tl 0.0564 0.2179 0.3869
Tl2 Tl 0.9436 0.7821 0.6131
Sn1 Sn 0.0000 0.5000 0.0000
Hg1 Hg 0.3255 0.1628 0.9852
Hg2 Hg 0.6745 0.8372 0.0148
Se1 Se 0.2704 0.6875 0.3515
Se2 Se 0.7296 0.3125 0.6485

***

# Sm4Sc | the Alexandria database | PBE | optimized geometry
# * uncorrected energy: -4.95 eV/atom
# * distance to the lowest polymorph of the same formula: 0 meV per atom
# * space group: I4/m, No. 87
# * formation energy: 0.091 eV/atom
data_Sm4Sc
_chemical_formula_sum 'Sm8 Sc2'
_symmetry_space_group_name_H-M 'P 1'
_symmetry_Int_Tables_number 1
_cell_length_a 9.2792
_cell_length_b 9.2792
_cell_length_c 3.7426
_cell_angle_alpha 90.00
_cell_angle_beta 90.00
_cell_angle_gamma 90.00
loop_
_symmetry_equiv_pos_as_xyz
'x,y,z'
loop_
_atom_site_label
_atom_site_type_symbol
_atom_site_fract_x
_atom_site_fract_y
_atom_site_fract_z
Sm1 Sm 0.0861 0.7191 0.0000
Sm2 Sm 0.2191 0.4139 0.5000
Sm3 Sm 0.2809 0.0861 0.0000
Sm4 Sm 0.4139 0.7809 0.5000
Sm5 Sm 0.5861 0.2191 0.5000
Sm6 Sm 0.7191 0.9139 0.0000
Sm7 Sm 0.7809 0.5861 0.5000
Sm8 Sm 0.9139 0.2809 0.0000
Sc1 Sc 0.0000 0.0000 0.5000
Sc2 Sc 0.5000 0.5000 0.0000

***

# Ta2AlMo | the Alexandria database | PBE | optimized geometry
# * uncorrected energy: -9.56 eV/atom
# * space group: P4mm, No. 99
# * formation energy: 0.010 eV/atom
data_Ta2AlMo
_chemical_formula_sum 'Ta2 Al1 Mo1'
_symmetry_space_group_name_H-M 'P 1'
_symmetry_Int_Tables_number 1
_cell_length_a 2.7767
_cell_length_b 2.7767
_cell_length_c 8.8519
_cell_angle_alpha 90.00
_cell_angle_beta 90.00
_cell_angle_gamma 90.00
loop_
_symmetry_equiv_pos_as_xyz
'x,y,z'
loop_
_atom_site_label
_atom_site_type_symbol
_atom_site_fract_x
_atom_site_fract_y
_atom_site_fract_z
Ta1 Ta 0.0000 0.0000 0.0000
Ta2 Ta 0.5000 0.5000 0.2663
Al1 Al 0.0000 0.0000 0.5083
Mo1 Mo 0.5000 0.5000 0.7364

***

# MgNi4H4 | the Alexandria database | PBE | optimized geometry
# * uncorrected energy: -4.38 eV/atom
# * space group: I4/m, No. 87
data_MgNi4H4
_chemical_formula_sum 'Mg1 Ni4 H4'
_symmetry_space_group_name_H-M 'P 1'
_symmetry_Int_Tables_number 1
_cell_length_a 4.7589
_cell_length_b 4.7589
_cell_length_c 4.7589
_cell_angle_alpha 97.89
_cell_angle_beta 97.89
_cell_angle_gamma 136.49
loop_
_symmetry_equiv_pos_as_xyz
'x,y,z'
loop_
_atom_site_label
_atom_site_type_symbol
_atom_site_fract_x
_atom_site_fract_y
_atom_site_fract_z
Mg1 Mg 0.0000 0.0000 0.0000
Ni1 Ni 0.1903 0.6081 0.7984
Ni2 Ni 0.3919 0.1903 0.5822
Ni3 Ni 0.6081 0.8097 0.4178
Ni4 Ni 0.8097 0.3919 0.2016
H1 H 0.1514 0.3321 0.4835
H2 H 0.3321 0.8486 0.1807
H3 H 0.6679 0.1514 0.8193
H4 H 0.8486 0.6679 0.5165

***

# TeAs2Rh | the Alexandria database | PBE | optimized geometry
# * uncorrected energy: -5.01 eV/atom
# * space group: Cm, No. 8
# * ΔE_f (raw): -0.06 eV per atom
data_TeAs2Rh
_chemical_formula_sum 'Te2 As4 Rh2'
_symmetry_space_group_name_H-M 'P 1'
_symmetry_Int_Tables_number 1
_cell_length_a 7.3118
_cell_length_b 3.7646
_cell_length_c 6.5601
_cell_angle_alpha 90.00
_cell_angle_beta 104.92
_cell_angle_gamma 90.00
loop_
_symmetry_equiv_pos_as_xyz
'x,y,z'
loop_
_atom_site_label
_atom_site_type_symbol
_atom_site_fract_x
_atom_site_fract_y
_atom_site_fract_z
Te1 Te 0.0000 0.0000 0.0000
Te2 Te 0.5000 0.5000 0.0000
As1 As 0.3267 0.0000 0.6951
As2 As 0.4837 0.0000 0.4076
As3 As 0.8267 0.5000 0.6951
As4 As 0.9837 0.5000 0.4076
Rh1 Rh 0.2720 0.5000 0.2547
Rh2 Rh 0.7720 0.0000 0.2547

***

# ReMo | the Alexandria database | PBE | optimized geometry
# * uncorrected energy: -11.54 eV/atom
# * distance to the lowest polymorph of the same formula: 3 meV per atom
# * space group: Imma, No. 74
# * formation energy: 0.096 eV/atom
data_ReMo
_chemical_formula_sum 'Re4 Mo4'
_symmetry_space_group_name_H-M 'P 1'
_symmetry_Int_Tables_number 1
_cell_length_a 3.1450
_cell_length_b 4.4337
_cell_length_c 8.8571
_cell_angle_alpha 90.00
_cell_angle_beta 90.00
_cell_angle_gamma 90.00
loop_
_symmetry_equiv_pos_as_xyz
'x,y,z'
loop_
_atom_site_label
_atom_site_type_symbol
_atom_site_fract_x
_atom_site_fract_y
_atom_site_fract_z
Re1 Re 0.0000 0.2500 0.1209
Re2 Re 0.0000 0.7500 0.8791
Re3 Re 0.5000 0.2500 0.3791
Re4 Re 0.5000 0.7500 0.6209
Mo1 Mo 0.0000 0.2500 0.6292
Mo2 Mo 0.0000 0.7500 0.3708
Mo3 Mo 0.5000 0.2500 0.8708
Mo4 Mo 0.5000 0.7500 0.1292

***

Question: Among the records above, which one has the lowest uncorrected energy?
Answer: ReMo

***

Question: Number 4 is which compound?
Answer: Sm4Sc

***

Question: Among the records above, which one has the highest uncorrected energy?
Answer: KRb2Bi

***

Copy entry 7 word for word.
# TeAs2Rh | the Alexandria database | PBE | optimized geometry
# * uncorrected energy: -5.01 eV/atom
# * space group: Cm, No. 8
# * ΔE_f (raw): -0.06 eV per atom
data_TeAs2Rh
_chemical_formula_sum 'Te2 As4 Rh2'
_symmetry_space_group_name_H-M 'P 1'
_symmetry_Int_Tables_number 1
_cell_length_a 7.3118
_cell_length_b 3.7646
_cell_length_c 6.5601
_cell_angle_alpha 90.00
_cell_angle_beta 104.92
_cell_angle_gamma 90.00
loop_
_symmetry_equiv_pos_as_xyz
'x,y,z'
loop_
_atom_site_label
_atom_site_type_symbol
_atom_site_fract_x
_atom_site_fract_y
_atom_site_fract_z
Te1 Te 0.0000 0.0000 0.0000
Te2 Te 0.5000 0.5000 0.0000
As1 As 0.3267 0.0000 0.6951
As2 As 0.4837 0.0000 0.4076
As3 As 0.8267 0.5000 0.6951
As4 As 0.9837 0.5000 0.4076
Rh1 Rh 0.2720 0.5000 0.2547
Rh2 Rh 0.7720 0.0000 0.2547